DFT (PBE) results for KPt4 after structural relaxation.

**Space group**: Pm-3m, No. 221
**Density**: 12.35 g/cm³
**N(E_F)**: 1.5640 states/eV per atom
**Formation energy from the elements**: 11.77 eV/f.u.

a b c (Å): 4.793 4.793 4.793
angles (deg): 90.00 90.00 90.00
Element x y z (fractional)
Pt: 0.000 0.500 0.500
Pt: 0.500 0.000 0.500
K: 0.500 0.500 0.500
Pt: 0.000 0.000 0.000
Pt: 0.500 0.500 0.000



DFT (PBE) results for KPt8 after structural relaxation.

**Space group**: I4/mmm, No. 139
**Density**: 17.42 g/cm³
**N(E_F)**: 1.2779 states/eV per atom
**Formation energy from the elements**: 2.06 eV/f.u.

a b c (Å): 7.595 7.595 7.595
angles (deg): 91.85 91.85 159.27
Element x y z (fractional)
Pt: 0.327 0.673 0.000
Pt: 0.331 0.000 0.331
Pt: 0.669 0.000 0.669
Pt: 0.673 0.327 0.000
Pt: 0.000 0.331 0.331
Pt: 0.673 0.673 0.346
Pt: 0.327 0.327 0.654
Pt: 0.000 0.669 0.669
K: 0.000 0.000 0.000



DFT (PBE) results for K4Pt after structural relaxation.

**Space group**: I4/mmm, No. 139
**Density**: 2.29 g/cm³
**N(E_F)**: 0.9499 states/eV per atom
**Formation energy from the elements**: 2.25 eV/f.u.

a b c (Å): 11.267 11.267 11.267
angles (deg): 155.01 155.01 35.64
Site moments in Bohr magnetons follow the coordinates.
Element x y z (fractional)
K: 0.750 0.250 0.500  0.00
Pt: 0.000 0.000 0.000  0.18
K: 0.428 0.428 0.000  0.00
K: 0.572 0.572 0.000  0.00
K: 0.250 0.750 0.500  0.00



DFT (PBE) results for KPuPt10 after structural relaxation.

**Space group**: Pmmm, No. 47
**Density**: 16.43 g/cm³
**N(E_F)**: 1.5299 states/eV per atom
**Formation energy from the elements**: -3.89 eV/f.u.

a b c (Å): 4.393 5.461 9.408
angles (deg): 90.00 90.00 90.00
Site moments in Bohr magnetons follow the coordinates.
Element x y z (fractional)
Pt: 0.500 0.500 0.000  -0.03
Pt: 0.500 0.254 0.256  -0.04
Pt: 0.000 0.000 0.663  -0.07
Pt: 0.500 0.746 0.256  -0.04
Pt: 0.500 0.254 0.744  -0.04
Pt: 0.500 0.000 0.500  -0.03
Pt: 0.000 0.000 0.337  -0.07
Pt: 0.000 0.500 0.827  -0.05
Pt: 0.500 0.746 0.744  -0.04
K: 0.000 0.000 0.000  0.00
Pt: 0.000 0.500 0.173  -0.05
Pu: 0.000 0.500 0.500  5.00



DFT (PBE) results for KPuPt2 after structural relaxation.

**Space group**: P4/mmm, No. 123
**Density**: 11.38 g/cm³
**N(E_F)**: 2.5362 states/eV per atom
**Formation energy from the elements**: -1.70 eV/f.u.

a b c (Å): 3.485 3.485 8.088
angles (deg): 90.00 90.00 90.00
Site moments in Bohr magnetons follow the coordinates.
Element x y z (fractional)
Pu: 0.500 0.500 0.000  4.83
K: 0.500 0.500 0.500  0.01
Pt: 0.000 0.000 0.195  -0.14
Pt: 0.000 0.000 0.805  -0.14



DFT (PBE) results for KPuPt4 after structural relaxation.

**Space group**: F-43m, No. 216
**Density**: 15.08 g/cm³
**N(E_F)**: 2.8301 states/eV per atom
**Formation energy from the elements**: -2.97 eV/f.u.

a b c (Å): 5.491 5.491 5.491
angles (deg): 60.00 60.00 60.00
Site moments in Bohr magnetons follow the coordinates.
Element x y z (fractional)
Pu: 0.000 0.000 0.000  5.24
K: 0.250 0.250 0.250  0.02
Pt: 0.125 0.625 0.625  -0.08
Pt: 0.625 0.625 0.125  -0.08
Pt: 0.625 0.625 0.625  -0.08
Pt: 0.625 0.125 0.625  -0.08



DFT (PBE) results for K4Pu3PtS8 after structural relaxation.

**Space group**: C2/m, No. 12
**Density**: 5.27 g/cm³
**E_form (uncorrected)**: -1.284 eV per atom
**N(E_F)**: 1.8475 states/eV per atom

a b c (Å): 7.836 8.614 8.289
angles (deg): 117.03 118.21 90.00
Site moments in Bohr magnetons follow the coordinates.
Element x y z (fractional)
S: 0.198 0.675 0.954  -0.01
K: 0.500 0.000 0.500  0.00
S: 0.272 0.728 0.544  0.13
S: 0.802 0.325 0.046  -0.01
S: 0.243 0.325 0.046  -0.01
K: 0.000 0.000 0.500  0.00
S: 0.727 0.702 0.455  0.04
Pu: 0.500 0.500 0.500  -4.84
K: 0.500 0.000 0.000  0.00
Pu: 0.500 0.500 0.000  4.91
Pt: 0.000 0.500 0.000  0.04
Pu: 0.000 0.500 0.500  -4.84
S: 0.757 0.675 0.954  -0.01
S: 0.728 0.272 0.456  0.13
K: 0.000 0.000 0.000  0.00
S: 0.273 0.298 0.545  0.04



DFT (PBE) results for K3Pu3PtS8 after structural relaxation.

**Space group**: R-3m, No. 166
**Density**: 5.30 g/cm³
**E_form (uncorrected)**: -1.282 eV per atom
**N(E_F)**: 1.5588 states/eV per atom

a b c (Å): 7.943 7.942 8.762
angles (deg): 116.96 89.98 119.99
Site moments in Bohr magnetons follow the coordinates.
Element x y z (fractional)
S: 0.213 0.427 0.685  0.07
Pt: 0.000 0.000 0.500  -0.19
Pu: 0.500 0.500 0.500  -4.98
S: 0.267 0.533 0.299  0.11
S: 0.787 0.573 0.315  0.07
Pu: 0.000 0.500 0.500  -4.98
S: 0.213 0.971 0.685  0.07
K: 0.000 0.000 0.000  0.00
S: 0.242 0.029 0.315  0.07
S: 0.787 0.029 0.315  0.07
K: 0.500 0.500 0.000  0.00
S: 0.758 0.971 0.685  0.07
S: 0.733 0.467 0.701  0.11
Pu: 0.500 0.000 0.500  -4.98
K: 0.000 0.500 0.000  0.00



Question: density of number 7 (K4Pu3PtS8)?
Answer: 5.27 g/cm³



Question: Look up the density of the seventh one.
Answer: 5.27 g/cm³